First-principles (PBE) data for a geometry-optimized Ti2GeMo structure, as listed in Alexandria via LeMat-Bulk.

Cell lengths 3.307, 3.307, 5.760 Å; angles 90.00, 90.00, 90.00 degrees
Atoms (fractional coordinates):
Ti (0.000, 0.000, 0.249)
Ti (0.000, 0.000, 0.751)
Ge (0.500, 0.500, 0.500)
Mo (0.500, 0.500, 0.000)

Summary:
The calculation puts the calculated total energy at -8.2602 eV/atom. The calculation puts the density of states at the Fermi level at 1.9 states/eV/f.u. As for the symmetry: P4/mmm, No. 123.

=====

First-principles (PBE) data for a geometry-optimized TiGeMo2 structure, as listed in Alexandria via LeMat-Bulk.

Cell lengths 5.686, 5.686, 5.686 Å; angles 103.02, 103.02, 123.33 degrees
Atoms (fractional coordinates):
Ti (0.000, 0.000, 0.000)
Ti (0.750, 0.250, 0.500)
Ge (0.250, 0.750, 0.500)
Ge (0.500, 0.500, 0.000)
Mo (0.141, 0.625, 0.016)
Mo (0.375, 0.391, 0.516)
Mo (0.609, 0.125, 0.984)
Mo (0.875, 0.859, 0.484)

Summary:
The calculation puts the calculated total energy at -8.0461 eV/atom. The calculation puts the density of states at the Fermi level at 5.4 states/eV/f.u. As for the symmetry: I-42d, No. 122.

=====

First-principles (PBE) data for a geometry-optimized TiGe3Mo structure, as listed in Alexandria via LeMat-Bulk.

Cell lengths 4.827, 4.827, 4.827 Å; angles 90.00, 90.00, 90.00 degrees
Atoms (fractional coordinates):
Ti (0.000, 0.000, 0.000)
Ge (0.000, 0.500, 0.500)
Ge (0.500, 0.000, 0.500)
Ge (0.500, 0.500, 0.000)
Mo (0.500, 0.500, 0.500)

Summary:
The calculation puts the calculated total energy at -5.7732 eV/atom. The calculation puts the density of states at the Fermi level at 13.3 states/eV/f.u. The relative energy among the computed polymorphs comes out at 0.0 kJ per mole of atoms. As for the symmetry: Pm-3m, No. 221.